Entry 1:
Compound: CuP3
Source: the Alexandria database
Functional: GGA-PBEsol
Structure: optimized geometry

Output
- calculated formation energy (eV/atom) = 0.444
- electronic total energy (eV per atom) = -4.9831
- V (Å³ per cell) = 53
- SG = P4/mmm, No. 123
- ΔE to the lowest computed polymorph (eV per formula unit) = 0.000

a b c (Å): 2.5791 4.5429 4.5429
angles (deg): 90.00 90.00 90.00
With the nearest neighbours (Å) after each atom.
Sites, in units of the cell vectors:
1 Cu 0.0000 0.0000 0.0000  2 Cu 2.58, 8 P 2.61
2 P 0.5000 0.0000 0.5000  6 P 2.58-2.61, 4 Cu 2.61
3 P 0.5000 0.5000 0.0000  6 P 2.58-2.61, 4 Cu 2.61
4 P 0.0000 0.5000 0.5000  10 P 2.58-2.61

***

Entry 2:
Compound: Cu8P
Source: the Alexandria database
Functional: GGA-PBEsol
Structure: optimized geometry

Output
- calculated formation energy (eV/atom) = -0.010
- electronic total energy (eV per atom) = -4.5060
- V (Å³ per cell) = 102
- SG = I4/mmm, No. 139

a b c (Å): 3.5838 5.6341 5.6341
angles (deg): 84.19 71.46 71.46
With the nearest neighbours (Å) after each atom.
Sites, in units of the cell vectors:
1 Cu 0.3344 0.0000 0.3313  10 Cu 2.50-2.54, 2 P 2.52
2 Cu 0.6656 0.0000 0.6687  10 Cu 2.50-2.54, 2 P 2.52
3 Cu 0.6672 0.3328 0.3328  1 P 2.51, 11 Cu 2.52-2.53
4 Cu 0.3344 0.3313 0.0000  10 Cu 2.50-2.54, 2 P 2.52
5 Cu 0.0000 0.3328 0.6672  1 P 2.51, 11 Cu 2.52-2.53
6 Cu 0.6656 0.6687 0.0000  10 Cu 2.50-2.54, 2 P 2.52
7 Cu 0.3328 0.6672 0.6672  1 P 2.51, 11 Cu 2.52-2.53
8 Cu 0.0000 0.6672 0.3328  1 P 2.51, 11 Cu 2.52-2.53
9 P 0.0000 0.0000 0.0000  12 Cu 2.51-2.52

***

Entry 3:
Compound: CuPPb2
Source: the Alexandria database
Functional: GGA-PBEsol
Structure: optimized geometry

Output
- calculated formation energy (eV/atom) = 0.256
- electronic total energy (eV per atom) = -4.2744
- V (Å³ per cell) = 89
- SG = R-3m, No. 166

a b c (Å): 3.9209 3.9209 7.0513
angles (deg): 73.86 73.86 60.00
With the nearest neighbours (Å) after each atom.
Sites, in units of the cell vectors:
1 Cu 0.5000 0.5000 0.5000  6 Pb 2.79
2 P 0.0000 0.0000 0.0000  6 Pb 2.83
3 Pb 0.2485 0.2485 0.2546  3 Cu 2.79, 3 P 2.83
4 Pb 0.7515 0.7515 0.7454  3 Cu 2.79, 3 P 2.83

***

Entry 4:
Compound: CuPPb2
Source: the Alexandria database
Functional: GGA-PBEsol
Structure: optimized geometry

Output
- calculated formation energy (eV/atom) = 0.109
- electronic total energy (eV per atom) = -4.4219
- V (Å³ per cell) = 88
- SG = Pm, No. 6

a b c (Å): 3.8760 4.2998 5.6779
angles (deg): 112.14 90.00 90.00
With the nearest neighbours (Å) after each atom.
Sites, in units of the cell vectors:
1 Cu 0.0000 0.3142 0.5042  2 P 2.31
2 P 0.5000 0.4345 0.7421  2 Cu 2.31
3 Pb 0.0000 0.0279 0.9299  3 Cu 3.02-3.11, 4 P 3.06
4 Pb 0.5000 0.7235 0.3238  4 Cu 3.04-3.05, 3 P 3.06-3.08

***

Entry 5:
Compound: CuP3Pd
Source: the Alexandria database
Functional: GGA-PBEsol
Structure: optimized geometry

Output
- calculated formation energy (eV/atom) = 0.860
- electronic total energy (eV per atom) = -4.6737
- V (Å³ per cell) = 84
- SG = Pm-3m, No. 221

a b c (Å): 4.3757 4.3757 4.3757
angles (deg): 90.00 90.00 90.00
With the nearest neighbours (Å) after each atom.
Sites, in units of the cell vectors:
1 P 0.0000 0.5000 0.0000  2 Cu 2.19
2 P 0.0000 0.0000 0.5000  2 Cu 2.19
3 P 0.5000 0.0000 0.0000  2 Cu 2.19
4 Cu 0.0000 0.0000 0.0000  6 P 2.19
5 Pd 0.5000 0.5000 0.5000  12 P 3.09

***

Entry 6:
Compound: CuPPd3
Source: the Alexandria database
Functional: GGA-PBEsol
Structure: optimized geometry

Output
- calculated formation energy (eV/atom) = 1.011
- electronic total energy (eV per atom) = -4.5894
- V (Å³ per cell) = 89
- SG = Pm-3m, No. 221

a b c (Å): 4.4565 4.4565 4.4565
angles (deg): 90.00 90.00 90.00
With the nearest neighbours (Å) after each atom.
Sites, in units of the cell vectors:
1 P 0.5000 0.5000 0.5000  12 Pd 3.15
2 Cu 0.0000 0.0000 0.0000  6 Pd 2.23
3 Pd 0.0000 0.5000 0.0000  2 Cu 2.23
4 Pd 0.0000 0.0000 0.5000  2 Cu 2.23
5 Pd 0.5000 0.0000 0.0000  2 Cu 2.23

***

Entry 7:
Compound: Cu2PPd2
Source: the Alexandria database
Functional: GGA-PBEsol
Structure: optimized geometry

Output
- calculated formation energy (eV/atom) = -0.305
- electronic total energy (eV per atom) = -5.5804
- V (Å³ per cell) = 132
- SG = Ccc2, No. 37

a b c (Å): 4.9520 4.9520 5.3942
angles (deg): 90.00 90.00 91.92
With the nearest neighbours (Å) after each atom.
Sites, in units of the cell vectors:
1 Cu 0.2364 0.8580 0.6621  2 P 2.28-2.31
2 Cu 0.7636 0.1420 0.6621  2 P 2.28-2.31
3 Cu 0.8580 0.2364 0.1621  2 P 2.28-2.31
4 Cu 0.1420 0.7636 0.1621  2 P 2.28-2.31
5 P 0.5000 0.0000 0.9939  4 Cu 2.28-2.31, 4 Pd 2.34-2.37
6 P 0.0000 0.5000 0.4939  4 Cu 2.28-2.31, 4 Pd 2.34-2.37
7 Pd 0.6444 0.7511 0.3410  2 P 2.34-2.37
8 Pd 0.3556 0.2489 0.3410  2 P 2.34-2.37
9 Pd 0.2489 0.3556 0.8410  2 P 2.34-2.37
10 Pd 0.7511 0.6444 0.8410  2 P 2.34-2.37

***

Entry 8:
Compound: CuP2PdS
Source: the Alexandria database
Functional: GGA-PBEsol
Structure: optimized geometry

Output
- electronic total energy (eV per atom) = -4.2843
- V (Å³ per cell) = 98
- SG = P4/mmm, No. 123

a b c (Å): 4.5085 4.5085 4.8324
angles (deg): 90.00 90.00 90.00
With the nearest neighbours (Å) after each atom.
Sites, in units of the cell vectors:
1 P 0.0000 0.5000 0.0000  2 Pd 2.25
2 P 0.5000 0.0000 0.0000  2 Pd 2.25
3 S 0.0000 0.0000 0.5000  2 Pd 2.42
4 Cu 0.5000 0.5000 0.5000  4 S 3.19, 8 P 3.30
5 Pd 0.0000 0.0000 0.0000  4 P 2.25, 2 S 2.42

***

Please write out number 1 again, unchanged.
Compound: CuP3
Source: the Alexandria database
Functional: GGA-PBEsol
Structure: optimized geometry

Output
- calculated formation energy (eV/atom) = 0.444
- electronic total energy (eV per atom) = -4.9831
- V (Å³ per cell) = 53
- SG = P4/mmm, No. 123
- ΔE to the lowest computed polymorph (eV per formula unit) = 0.000

a b c (Å): 2.5791 4.5429 4.5429
angles (deg): 90.00 90.00 90.00
With the nearest neighbours (Å) after each atom.
Sites, in units of the cell vectors:
1 Cu 0.0000 0.0000 0.0000  2 Cu 2.58, 8 P 2.61
2 P 0.5000 0.0000 0.5000  6 P 2.58-2.61, 4 Cu 2.61
3 P 0.5000 0.5000 0.0000  6 P 2.58-2.61, 4 Cu 2.61
4 P 0.0000 0.5000 0.5000  10 P 2.58-2.61

***

> What is the formula in the seventh record?

Cu2PPd2

***

> What is the V in the fourth record?

88 Å³ per cell

***

> Look up the V of the fifth one.

84 Å³ per cell